Entry from the Alexandria database: crystalline SrLaMn2O5 at its relaxed geometry (PBE with a Hubbard U).

Geometry as POSCAR:
```
SrLaMn2O5
1.0
5.569 0.000 -0.003
-0.025 5.739 0.001
2.770 2.864 8.045
Sr Mn O La
2 4 10 2
Cartesian
5.546 2.778 1.794 Sr
5.550 2.781 6.246 Sr
5.369 5.406 4.021 Mn
2.529 3.186 4.021 Mn
5.559 5.748 8.043 Mn
0.021 0.004 0.003 Mn
3.225 5.216 4.022 O
6.055 3.483 4.020 O
2.835 2.464 2.121 O
2.836 2.465 5.920 O
5.789 6.009 5.934 O
5.778 6.018 2.111 O
6.987 4.240 7.908 O
1.356 4.343 0.140 O
4.114 4.300 0.236 O
4.178 4.394 7.808 O
2.696 5.859 6.284 La
2.697 5.863 1.761 La
```

## Properties
The value obtained for the total energy is -7.542 eV/atom. The total magnetization is 9.0 μB/f.u. The calculation puts the density of states at the Fermi level at 0.60 states/eV/f.u. Its space-group type is P1, No. 1.